The following is a DFT calculation (PBE) of an optimized crystal structure of Lu4Ge6Ru7.

Results
symmetry: No. 229
total DFT energy (no corrections): -7.1506 eV/atom
energy relative to the elements: -0.638 eV per atom

Geometry as extended XYZ:
```
17
Lattice="-4.145 4.145 4.145 4.145 -4.145 4.145 4.145 4.145 -4.145" Properties=species:S:1:pos:R:3 pbc="T T T"
Lu 2.073 2.073 -2.073
Lu 2.073 -2.073 2.073
Lu -2.073 2.073 2.073
Lu 2.073 2.073 2.073
Ge 2.599 0.000 0.000
Ge 5.692 0.000 0.000
Ge 0.000 2.599 0.000
Ge 0.000 0.000 2.599
Ge 0.000 5.692 0.000
Ge 0.000 0.000 5.692
Ru 0.000 0.000 0.000
Ru 4.145 2.073 0.000
Ru 4.145 0.000 2.073
Ru 2.073 4.145 0.000
Ru 2.073 0.000 4.145
Ru 0.000 4.145 2.073
Ru 0.000 2.073 4.145
```